A plane-wave DFT calculation with PBE+U was carried out for an optimized crystal structure of NiHgTe2O.

Cell: 4.916 4.974 4.916 Å, 90.00 90.00 90.00°
Fractional positions:
Ni1 0.000 0.000 0.000
Te1 0.000 0.000 0.500
Te2 0.500 0.000 0.000
Hg1 0.000 0.500 0.000
O1 0.500 0.500 0.500

Properties
final energy	-0.14942	Ry per atom
ρ	7.33	g/cm3
Fermi-level density of states	3.39	states/eV per cell
crystal system	tetragonal